(1)
Density functional theory data (PBEsol) for a geometry-optimized CuH12N2O2F4 structure.

Computed properties:
As for the space group: C2/c. The total energy comes out at -102.126 eV per formula unit. The calculation puts the calculated volume at 7.76 Å³/atom. As for the spin magnetization: 2.044 μB per cell.

Structure (POSCAR):
```
CuH12N2O2F4
1.0
5.461 -4.459 0.000
5.461 4.459 0.000
-2.431 0.000 6.689
Cu H N O F
2 24 4 4 8
direct
0.205 0.795 0.750
0.795 0.205 0.250
0.091 0.842 0.390
0.099 0.606 0.388
0.150 0.360 0.079
0.158 0.909 0.110
0.174 0.459 0.894
0.218 0.277 0.398
0.277 0.218 0.898
0.360 0.150 0.579
0.379 0.403 0.080
0.394 0.901 0.112
0.403 0.379 0.580
0.459 0.174 0.394
0.541 0.826 0.606
0.597 0.621 0.420
0.606 0.099 0.888
0.621 0.597 0.920
0.640 0.850 0.421
0.723 0.782 0.102
0.782 0.723 0.602
0.826 0.541 0.106
0.842 0.091 0.890
0.850 0.640 0.921
0.901 0.394 0.612
0.909 0.158 0.610
0.244 0.360 0.986
0.360 0.244 0.486
0.640 0.756 0.514
0.756 0.640 0.014
0.158 0.733 0.463
0.267 0.842 0.037
0.733 0.158 0.963
0.842 0.267 0.537
0.012 0.988 0.250
0.023 0.416 0.259
0.416 0.023 0.759
0.422 0.578 0.750
0.578 0.422 0.250
0.584 0.977 0.241
0.977 0.584 0.741
0.988 0.012 0.750
```

=====

(2)
Density functional theory data (PBEsol) for a geometry-optimized TcIr2Rh structure.

Computed properties:
As for the space group: R3m. As for the energy of formation from the pure elements: -0.0756 eV per atom. The calculation puts the calculated volume at 13.85 Å³/atom. As for the spin magnetization: 0.001 μB per cell. Its relative energy among the computed polymorphs is 68 meV per atom.

Structure (POSCAR):
```
TcIr2Rh
1.0
1.345 0.777 8.843
-1.345 0.777 8.843
0.000 -1.553 8.843
Tc Ir Rh
1 2 1
direct
0.000 0.000 0.000
0.251 0.251 0.251
0.500 0.500 0.500
0.749 0.749 0.749
```

=====

(3)
Density functional theory data (PBEsol) for a geometry-optimized ZnNiIr structure.

Computed properties:
As for the space group: F-43m. As for the energy of formation from the pure elements: 0.5319 eV per atom. The calculation puts the calculated volume at 14.39 Å³/atom. As for the spin magnetization: 0.369 μB per cell. Its relative energy among the computed polymorphs is 613 meV per atom.

Structure (POSCAR):
```
ZnNiIr
1.0
0.000 2.784 2.784
2.784 0.000 2.784
2.784 2.784 0.000
Zn Ni Ir
1 1 1
direct
0.000 0.000 0.000
0.250 0.250 0.250
0.750 0.750 0.750
```

=====

(4)
Density functional theory data (PBEsol) for a geometry-optimized NiBrCl2 structure.

Computed properties:
As for the raw formation energy: 6.04 kJ/mol of atoms. As for the space group: P4/mmm. The calculation puts the calculated volume at 20.96 Å³/atom. As for the spin magnetization: 2.044 μB per cell. Its relative energy among the computed polymorphs is 338 meV per atom.

Structure (POSCAR):
```
NiBrCl2
1.0
2.959 0.000 0.000
0.000 2.959 0.000
0.000 0.000 9.578
Ni Br Cl
1 1 2
direct
0.000 0.000 0.000
0.000 0.000 0.500
0.500 0.500 0.152
0.500 0.500 0.848
```

=====

Copy entry 4 word for word.
Density functional theory data (PBEsol) for a geometry-optimized NiBrCl2 structure.

Computed properties:
As for the raw formation energy: 6.04 kJ/mol of atoms. As for the space group: P4/mmm. The calculation puts the calculated volume at 20.96 Å³/atom. As for the spin magnetization: 2.044 μB per cell. Its relative energy among the computed polymorphs is 338 meV per atom.

Structure (POSCAR):
```
NiBrCl2
1.0
2.959 0.000 0.000
0.000 2.959 0.000
0.000 0.000 9.578
Ni Br Cl
1 1 2
direct
0.000 0.000 0.000
0.000 0.000 0.500
0.500 0.500 0.152
0.500 0.500 0.848
```

=====

What did the first record say?
Density functional theory data (PBEsol) for a geometry-optimized CuH12N2O2F4 structure.

Computed properties:
As for the space group: C2/c. The total energy comes out at -102.126 eV per formula unit. The calculation puts the calculated volume at 7.76 Å³/atom. As for the spin magnetization: 2.044 μB per cell.

Structure (POSCAR):
```
CuH12N2O2F4
1.0
5.461 -4.459 0.000
5.461 4.459 0.000
-2.431 0.000 6.689
Cu H N O F
2 24 4 4 8
direct
0.205 0.795 0.750
0.795 0.205 0.250
0.091 0.842 0.390
0.099 0.606 0.388
0.150 0.360 0.079
0.158 0.909 0.110
0.174 0.459 0.894
0.218 0.277 0.398
0.277 0.218 0.898
0.360 0.150 0.579
0.379 0.403 0.080
0.394 0.901 0.112
0.403 0.379 0.580
0.459 0.174 0.394
0.541 0.826 0.606
0.597 0.621 0.420
0.606 0.099 0.888
0.621 0.597 0.920
0.640 0.850 0.421
0.723 0.782 0.102
0.782 0.723 0.602
0.826 0.541 0.106
0.842 0.091 0.890
0.850 0.640 0.921
0.901 0.394 0.612
0.909 0.158 0.610
0.244 0.360 0.986
0.360 0.244 0.486
0.640 0.756 0.514
0.756 0.640 0.014
0.158 0.733 0.463
0.267 0.842 0.037
0.733 0.158 0.963
0.842 0.267 0.537
0.012 0.988 0.250
0.023 0.416 0.259
0.416 0.023 0.759
0.422 0.578 0.750
0.578 0.422 0.250
0.584 0.977 0.241
0.977 0.584 0.741
0.988 0.012 0.750
```

=====

Q: What is the formula in the second record?
A: TcIr2Rh